CdNiAgPb after structural relaxation. Source: the Alexandria database, functional GGA-PBE.

The density of states at the Fermi level comes out at 7.65 states/eV/cell. As for the mass density: 10388 kg/m3. As for the calculated formation energy: 0.19 eV per atom. The total moment comes out at 0.00 Bohr magnetons per cell.

The space group is F-43m (No. 216) and the conventional cell measures 6.774, 6.774 and 6.774 Å, with angles of 90.00, 90.00 and 90.00 degrees. The inequivalent atoms are Cd at (0.000, 0.000, 0.000), Ni at (0.250, 0.250, 0.250), Ag at (0.250, 0.250, 0.750) and Pb at (0.000, 0.000, 0.500).